No. 1
Material: HfCu2HPd
Method: DFT, PBE-GGA
State: relaxed

Lattice parameters (Å, degrees): 3.9064 3.9064 4.1670 90.00 90.00 90.00
Element x y z (fractional)
Hf 0.0000 0.0000 0.0000
Cu 0.0000 0.5000 0.5000
Cu 0.5000 0.0000 0.5000
H 0.0000 0.0000 0.5000
Pd 0.5000 0.5000 0.0000

As for the density of states at the Fermi level: 0.646 states/eV per atom. The volume comes out at 64 Å³ per cell. Its space-group type is P4/mmm (123). For the final energy, the calculation gives -5.512 eV per atom.

---

No. 2
Material: HoGa3Co3
Method: DFT, PBE-GGA
State: relaxed

Lattice parameters (Å, degrees): 7.9578 7.9578 7.9578 60.00 60.00 60.00
Element x y z (fractional)
Ho 0.2500 0.2500 0.2500
Ho 0.7500 0.7500 0.7500
Ga 0.1619 0.1619 0.8381
Ga 0.1619 0.8381 0.1619
Ga 0.1619 0.8381 0.8381
Ga 0.8381 0.1619 0.1619
Ga 0.8381 0.1619 0.8381
Ga 0.8381 0.8381 0.1619
Co 0.3581 0.3581 0.6419
Co 0.3581 0.6419 0.3581
Co 0.3581 0.6419 0.6419
Co 0.6419 0.3581 0.3581
Co 0.6419 0.3581 0.6419
Co 0.6419 0.6419 0.3581

As for the density of states at the Fermi level: 0.852 states/eV per atom. The volume comes out at 356 Å³ per cell. The value obtained for the formation energy is 0.7597 eV/atom. The offset from the most stable computed form comes out at 938 meV/atom. Its space-group type is Fm-3m (225). For the final energy, the calculation gives -4.237 eV per atom.

---

No. 3
Material: LaZn2InAu5
Method: DFT, PBE-GGA
State: relaxed

Lattice parameters (Å, degrees): 4.9646 4.9646 7.7907 90.00 90.00 90.00
Element x y z (fractional)
La 0.0000 0.0000 0.0000
Zn 0.5000 0.5000 0.3440
Zn 0.5000 0.5000 0.6560
In 0.0000 0.0000 0.5000
Au 0.0000 0.5000 0.2505
Au 0.0000 0.5000 0.7495
Au 0.5000 0.0000 0.2505
Au 0.5000 0.0000 0.7495
Au 0.5000 0.5000 0.0000

As for the density of states at the Fermi level: 0.386 states/eV per atom. The volume comes out at 192 Å³ per cell. The value obtained for the formation energy is -0.3151 eV/atom. Its space-group type is P4/mmm (123). For the final energy, the calculation gives -3.271 eV per atom.

---

No. 4
Material: LiMgV
Method: DFT, PBE-GGA
State: relaxed

Lattice parameters (Å, degrees): 2.8651 5.7362 6.6807 82.67 82.73 78.32
Element x y z (fractional)
Li 0.0000 0.0000 0.0000
Li 0.4218 0.3253 0.7039
Mg 0.2285 0.1739 0.3536
Mg 0.5710 0.5454 0.0384
V 0.7739 0.6895 0.4124
V 0.9220 0.8061 0.6462

As for the density of states at the Fermi level: 0.494 states/eV per atom. The volume comes out at 106 Å³ per cell. The value obtained for the formation energy is 0.2624 eV/atom. The offset from the most stable computed form comes out at 44 meV/atom. Its space-group type is P1 (1). For the final energy, the calculation gives -3.947 eV per atom.

---

No. 5
Material: CaF
Method: DFT, PBE-GGA
State: relaxed

Lattice parameters (Å, degrees): 3.9527 3.9527 6.4287 90.00 90.00 120.00
Element x y z (fractional)
Ca 0.3333 0.6667 0.0000
Ca 0.6667 0.3333 0.5000
F 0.3333 0.6667 0.6181
F 0.6667 0.3333 0.1181

As for the density of states at the Fermi level: 0.709 states/eV per atom. The volume comes out at 87 Å³ per cell. The offset from the most stable computed form comes out at 315 meV/atom. For the formation energy without anion corrections, the calculation gives -2.59 eV per atom. Its space-group type is P6_3mc (186). For the final energy, the calculation gives -4.529 eV per atom.

---

No. 6
Material: TcAs2P
Method: DFT, PBE-GGA
State: relaxed

Lattice parameters (Å, degrees): 4.9251 4.9251 4.9251 138.49 125.27 70.96
Element x y z (fractional)
Tc 0.0000 0.0000 0.0000
As 0.2779 0.7779 0.5000
As 0.7221 0.2221 0.5000
P 0.5000 0.5000 0.0000

As for the density of states at the Fermi level: 0.545 states/eV per atom. The volume comes out at 63 Å³ per cell. The value obtained for the formation energy is 0.4043 eV/atom. Its space-group type is Immm (71). For the final energy, the calculation gives -5.864 eV per atom.

---

No. 7
Material: Ce3Th3WN8
Method: DFT, PBE-GGA
State: relaxed

Lattice parameters (Å, degrees): 7.0320 7.0320 7.0320 60.15 60.15 60.15
Element x y z (fractional)
Ce 0.0000 0.5000 0.5000
Ce 0.5000 0.0000 0.5000
Ce 0.5000 0.5000 0.0000
Th 0.0000 0.0000 0.5000
Th 0.0000 0.5000 0.0000
Th 0.5000 0.0000 0.0000
W 0.5000 0.5000 0.5000
N 0.2519 0.2519 0.2519
N 0.2858 0.2858 0.7145
N 0.2858 0.7145 0.2858
N 0.2855 0.7142 0.7142
N 0.7145 0.2858 0.2858
N 0.7142 0.2855 0.7142
N 0.7142 0.7142 0.2855
N 0.7481 0.7481 0.7481

As for the density of states at the Fermi level: 0.899 states/eV per atom. The volume comes out at 247 Å³ per cell. For the formation energy without anion corrections, the calculation gives -1.28 eV per atom. Its space-group type is R-3m (166). For the final energy, the calculation gives -9.256 eV per atom.

---

No. 8
Material: Ba2YCr
Method: DFT, PBE-GGA
State: relaxed

Lattice parameters (Å, degrees): 11.3285 11.3285 11.3285 21.31 21.31 21.31
Element x y z (fractional)
Ba 0.0000 0.0000 0.0000
Ba 0.2153 0.2153 0.2153
Y 0.4524 0.4524 0.4524
Cr 0.7347 0.7347 0.7347

As for the density of states at the Fermi level: 1.086 states/eV per atom. The volume comes out at 168 Å³ per cell. The value obtained for the formation energy is 0.5483 eV/atom. The offset from the most stable computed form comes out at 156 meV/atom. Its space-group type is R3m (160). For the final energy, the calculation gives -4.435 eV per atom.

---

No. 9
Material: PrSmHoTh
Method: DFT, PBE-GGA
State: relaxed

Lattice parameters (Å, degrees): 5.7354 5.7354 5.7354 60.00 60.00 60.00
Element x y z (fractional)
Pr 0.0000 0.0000 0.0000
Sm 0.7500 0.7500 0.7500
Ho 0.2500 0.2500 0.2500
Th 0.5000 0.5000 0.5000

As for the density of states at the Fermi level: 2.030 states/eV per atom. The volume comes out at 133 Å³ per cell. The value obtained for the formation energy is 0.1589 eV/atom. The offset from the most stable computed form comes out at 136 meV/atom. Its space-group type is F-43m (216). For the final energy, the calculation gives -5.215 eV per atom.

---

No. 10
Material: ErTmPdAu
Method: DFT, PBE-GGA
State: relaxed

Lattice parameters (Å, degrees): 4.6289 5.5957 5.5957 38.44 90.00 90.00
Element x y z (fractional)
Er 0.0000 0.0000 0.0000
Tm 0.5000 0.7231 0.7231
Pd 0.0000 0.2723 0.2723
Au 0.5000 0.4466 0.4466

As for the density of states at the Fermi level: 0.460 states/eV per atom. The volume comes out at 90 Å³ per cell. The value obtained for the formation energy is -0.9345 eV/atom. The offset from the most stable computed form comes out at 0 meV/atom. Its space-group type is Amm2 (38). For the final energy, the calculation gives -5.311 eV per atom.

---

The highest final energy belongs to which entry?
LaZn2InAu5

---

What is the formula in the eighth record?
Ba2YCr